Model i:
This record from Alexandria via LeMat-Bulk describes a relaxed RbIn2Ir crystal. The functional is PBE-GGA.

```
data_RbIn2Ir
_chemical_formula_sum 'Rb1 In2 Ir1'
_symmetry_space_group_name_H-M 'P 1'
_symmetry_Int_Tables_number 1
_symmetry_space_group_name_Hall 'P 1'
_cell_length_a 5.1452
_cell_length_b 5.1452
_cell_length_c 5.1452
_cell_angle_alpha 60.00
_cell_angle_beta 60.00
_cell_angle_gamma 60.00
loop_
_atom_site_label
_atom_site_fract_x
_atom_site_fract_y
_atom_site_fract_z
_atom_site_occupancy
In1 0.2500 0.2500 0.2500 1
In2 0.7500 0.7500 0.7500 1
Rb1 0.0000 0.0000 0.0000 1
Ir1 0.5000 0.5000 0.5000 1
```

Values from the calculation:
**Crystal system**: cubic
**DOS(E_F)**: 4.0 states/eV per cell

Model ii:
This record from Alexandria via LeMat-Bulk describes a relaxed RbIn2Ir crystal. The functional is PBE-GGA.

```
data_RbIn2Ir
_chemical_formula_sum 'Rb2 In4 Ir2'
_symmetry_space_group_name_H-M 'P 1'
_symmetry_Int_Tables_number 1
_symmetry_space_group_name_Hall 'P 1'
_cell_length_a 6.5866
_cell_length_b 6.5866
_cell_length_c 9.0567
_cell_angle_alpha 68.68
_cell_angle_beta 68.68
_cell_angle_gamma 90.00
loop_
_atom_site_label
_atom_site_fract_x
_atom_site_fract_y
_atom_site_fract_z
_atom_site_occupancy
Rb1 0.5000 0.5000 0.0000 1
Rb2 0.2500 0.7500 0.5000 1
In1 0.8750 0.1239 0.7500 1
In2 0.8761 0.6250 0.2500 1
In3 0.8739 0.1250 0.2500 1
In4 0.3750 0.1261 0.7500 1
Ir1 0.0000 0.0000 0.0000 1
Ir2 0.7500 0.2500 0.5000 1
```

Values from the calculation:
**Crystal system**: tetragonal
**DOS(E_F)**: 0.1 states/eV per cell

Relative energy of each structure, in kJ/mol of atoms: model i 36.6; model ii 0.0.

Model i:
This record from Alexandria via LeMat-Bulk describes a relaxed Rb2In6Ir crystal. The functional is PBE-GGA.

```
data_Rb2In6Ir
_chemical_formula_sum 'Rb2 In6 Ir1'
_symmetry_space_group_name_H-M 'P 1'
_symmetry_Int_Tables_number 1
_symmetry_space_group_name_Hall 'P 1'
_cell_length_a 7.1773
_cell_length_b 7.1773
_cell_length_c 7.1773
_cell_angle_alpha 60.00
_cell_angle_beta 60.00
_cell_angle_gamma 60.00
loop_
_atom_site_label
_atom_site_fract_x
_atom_site_fract_y
_atom_site_fract_z
_atom_site_occupancy
In1 0.7299 0.2701 0.2701 1
In2 0.2701 0.7299 0.2701 1
In3 0.7299 0.7299 0.2701 1
In4 0.2701 0.7299 0.7299 1
In5 0.2701 0.2701 0.7299 1
In6 0.7299 0.2701 0.7299 1
Rb1 0.7500 0.7500 0.7500 1
Rb2 0.2500 0.2500 0.2500 1
Ir1 0.0000 0.0000 0.0000 1
```

Values from the calculation:
**Crystal system**: cubic
**DOS(E_F)**: 10.6 states/eV per cell

Model ii:
This record from Alexandria via LeMat-Bulk describes a relaxed Rb2In6Ir crystal. The functional is PBE-GGA.

```
data_Rb2In6Ir
_chemical_formula_sum 'Rb2 In6 Ir1'
_symmetry_space_group_name_H-M 'P 1'
_symmetry_Int_Tables_number 1
_symmetry_space_group_name_Hall 'P 1'
_cell_length_a 5.9942
_cell_length_b 7.0498
_cell_length_c 7.0498
_cell_angle_alpha 65.88
_cell_angle_beta 86.67
_cell_angle_gamma 86.67
loop_
_atom_site_label
_atom_site_fract_x
_atom_site_fract_y
_atom_site_fract_z
_atom_site_occupancy
Ir1 0.0000 0.0000 0.0000 1
In1 0.7266 0.1914 0.1914 1
In2 0.2734 0.8086 0.8086 1
In3 0.3070 0.8909 0.3026 1
In4 0.6930 0.6974 0.1091 1
In5 0.3070 0.3026 0.8909 1
In6 0.6930 0.1091 0.6974 1
Rb1 0.7982 0.6289 0.6289 1
Rb2 0.2018 0.3711 0.3711 1
```

Values from the calculation:
**Crystal system**: monoclinic
**DOS(E_F)**: 4.8 states/eV per cell

Relative energy of each structure, in kJ/mol of atoms: model i 4.9; model ii 0.0.

Model i:
This record from Alexandria via LeMat-Bulk describes a relaxed InRe2Ir crystal. The functional is PBE-GGA.

```
data_InRe2Ir
_chemical_formula_sum 'In1 Re2 Ir1'
_symmetry_space_group_name_H-M 'P 1'
_symmetry_Int_Tables_number 1
_symmetry_space_group_name_Hall 'P 1'
_cell_length_a 2.8379
_cell_length_b 3.9175
_cell_length_c 5.8360
_cell_angle_alpha 90.00
_cell_angle_beta 90.00
_cell_angle_gamma 90.00
loop_
_atom_site_label
_atom_site_fract_x
_atom_site_fract_y
_atom_site_fract_z
_atom_site_occupancy
Ir1 0.5000 0.5000 0.7577 1
In1 0.0000 0.0000 0.5101 1
Re1 0.5000 0.5000 0.2144 1
Re2 0.0000 0.0000 0.0178 1
```

Values from the calculation:
**Crystal system**: orthorhombic
**DOS(E_F)**: 2.9 states/eV per cell

Model ii:
This record from Alexandria via LeMat-Bulk describes a relaxed InRe2Ir crystal. The functional is PBE-GGA.

```
data_InRe2Ir
_chemical_formula_sum 'In1 Re2 Ir1'
_symmetry_space_group_name_H-M 'P 1'
_symmetry_Int_Tables_number 1
_symmetry_space_group_name_Hall 'P 1'
_cell_length_a 9.2008
_cell_length_b 9.2008
_cell_length_c 9.2008
_cell_angle_alpha 17.91
_cell_angle_beta 17.91
_cell_angle_gamma 17.91
loop_
_atom_site_label
_atom_site_fract_x
_atom_site_fract_y
_atom_site_fract_z
_atom_site_occupancy
Re1 0.9997 0.9997 0.9997 1
Re2 0.2555 0.2555 0.2555 1
Ir1 0.7458 0.7458 0.7458 1
In1 0.4990 0.4990 0.4990 1
```

Values from the calculation:
**Crystal system**: trigonal
**DOS(E_F)**: 2.2 states/eV per cell

Model iii:
This record from Alexandria via LeMat-Bulk describes a relaxed InRe2Ir crystal. The functional is PBE-GGA.

```
data_InRe2Ir
_chemical_formula_sum 'In2 Re4 Ir2'
_symmetry_space_group_name_H-M 'P 1'
_symmetry_Int_Tables_number 1
_symmetry_space_group_name_Hall 'P 1'
_cell_length_a 7.5314
_cell_length_b 7.5314
_cell_length_c 5.9278
_cell_angle_alpha 50.56
_cell_angle_beta 50.56
_cell_angle_gamma 90.00
loop_
_atom_site_label
_atom_site_fract_x
_atom_site_fract_y
_atom_site_fract_z
_atom_site_occupancy
Re1 0.3750 0.3264 0.7500 1
Re2 0.8750 0.9236 0.7500 1
Re3 0.0764 0.6250 0.2500 1
Re4 0.6736 0.1250 0.2500 1
Ir1 0.7500 0.2500 0.5000 1
Ir2 0.0000 0.0000 0.0000 1
In1 0.5000 0.5000 0.0000 1
In2 0.2500 0.7500 0.5000 1
```

Values from the calculation:
**Crystal system**: tetragonal
**DOS(E_F)**: 8.8 states/eV per cell

Model iv:
This record from Alexandria via LeMat-Bulk describes a relaxed InRe2Ir crystal. The functional is PBE-GGA.

```
data_InRe2Ir
_chemical_formula_sum 'In1 Re2 Ir1'
_symmetry_space_group_name_H-M 'P 1'
_symmetry_Int_Tables_number 1
_symmetry_space_group_name_Hall 'P 1'
_cell_length_a 4.4989
_cell_length_b 4.4989
_cell_length_c 4.4989
_cell_angle_alpha 60.00
_cell_angle_beta 60.00
_cell_angle_gamma 60.00
loop_
_atom_site_label
_atom_site_fract_x
_atom_site_fract_y
_atom_site_fract_z
_atom_site_occupancy
Re1 0.2500 0.2500 0.2500 1
Re2 0.7500 0.7500 0.7500 1
In1 0.0000 0.0000 0.0000 1
Ir1 0.5000 0.5000 0.5000 1
```

Values from the calculation:
**Crystal system**: cubic
**DOS(E_F)**: 8.4 states/eV per cell

Relative energy of each structure, in kJ/mol of atoms: model i 4.9; model ii 0.0; model iii 70.4; model iv 47.1.

Model i:
This record from Alexandria via LeMat-Bulk describes a relaxed InRe2Ir crystal. The functional is PBE-GGA.

```
data_InRe2Ir
_chemical_formula_sum 'In1 Re2 Ir1'
_symmetry_space_group_name_H-M 'P 1'
_symmetry_Int_Tables_number 1
_symmetry_space_group_name_Hall 'P 1'
_cell_length_a 4.7831
_cell_length_b 4.7831
_cell_length_c 2.8269
_cell_angle_alpha 90.00
_cell_angle_beta 90.00
_cell_angle_gamma 90.00
loop_
_atom_site_label
_atom_site_fract_x
_atom_site_fract_y
_atom_site_fract_z
_atom_site_occupancy
Re1 0.5000 0.5000 0.0000 1
Re2 0.0000 0.0000 0.0000 1
In1 0.5000 0.0000 0.5000 1
Ir1 0.0000 0.5000 0.5000 1
```

Values from the calculation:
**Crystal system**: tetragonal
**DOS(E_F)**: 3.4 states/eV per cell

Model ii:
This record from Alexandria via LeMat-Bulk describes a relaxed InRe2Ir crystal. The functional is PBE-GGA.

```
data_InRe2Ir
_chemical_formula_sum 'In1 Re2 Ir1'
_symmetry_space_group_name_H-M 'P 1'
_symmetry_Int_Tables_number 1
_symmetry_space_group_name_Hall 'P 1'
_cell_length_a 2.8807
_cell_length_b 2.8807
_cell_length_c 7.7868
_cell_angle_alpha 90.00
_cell_angle_beta 90.00
_cell_angle_gamma 90.00
loop_
_atom_site_label
_atom_site_fract_x
_atom_site_fract_y
_atom_site_fract_z
_atom_site_occupancy
Ir1 0.5000 0.5000 0.7684 1
Re1 0.0000 0.0000 0.0034 1
Re2 0.5000 0.5000 0.2252 1
In1 0.0000 0.0000 0.5030 1
```

Values from the calculation:
**Crystal system**: tetragonal
**DOS(E_F)**: 2.3 states/eV per cell

Model iii:
This record from Alexandria via LeMat-Bulk describes a relaxed InRe2Ir crystal. The functional is PBE-GGA.

```
data_InRe2Ir
_chemical_formula_sum 'In1 Re2 Ir1'
_symmetry_space_group_name_H-M 'P 1'
_symmetry_Int_Tables_number 1
_symmetry_space_group_name_Hall 'P 1'
_cell_length_a 4.9766
_cell_length_b 4.9766
_cell_length_c 4.7866
_cell_angle_alpha 79.93
_cell_angle_beta 79.93
_cell_angle_gamma 33.27
loop_
_atom_site_label
_atom_site_fract_x
_atom_site_fract_y
_atom_site_fract_z
_atom_site_occupancy
Re1 0.5101 0.5101 0.4854 1
Re2 0.9899 0.9899 0.0146 1
Ir1 0.2500 0.2500 0.2500 1
In1 0.7500 0.7500 0.7500 1
```

Values from the calculation:
**Crystal system**: monoclinic
**DOS(E_F)**: 2.4 states/eV per cell

Relative energy of each structure, in kJ/mol of atoms: model i 48.7; model ii 0.0; model iii 12.9.

Model i:
This record from Alexandria via LeMat-Bulk describes a relaxed InRe2Ir crystal. The functional is PBE-GGA.

```
data_InRe2Ir
_chemical_formula_sum 'In1 Re2 Ir1'
_symmetry_space_group_name_H-M 'P 1'
_symmetry_Int_Tables_number 1
_symmetry_space_group_name_Hall 'P 1'
_cell_length_a 4.8604
_cell_length_b 4.8604
_cell_length_c 4.8604
_cell_angle_alpha 131.06
_cell_angle_beta 131.06
_cell_angle_gamma 71.72
loop_
_atom_site_label
_atom_site_fract_x
_atom_site_fract_y
_atom_site_fract_z
_atom_site_occupancy
Ir1 0.7500 0.2500 0.5000 1
Re1 0.2500 0.7500 0.5000 1
Re2 0.0000 0.0000 0.0000 1
In1 0.5000 0.5000 0.0000 1
```

Values from the calculation:
**Crystal system**: tetragonal
**DOS(E_F)**: 5.2 states/eV per cell

Model ii:
This record from Alexandria via LeMat-Bulk describes a relaxed InRe2Ir crystal. The functional is PBE-GGA.

```
data_InRe2Ir
_chemical_formula_sum 'In1 Re2 Ir1'
_symmetry_space_group_name_H-M 'P 1'
_symmetry_Int_Tables_number 1
_symmetry_space_group_name_Hall 'P 1'
_cell_length_a 4.4400
_cell_length_b 3.8148
_cell_length_c 3.8148
_cell_angle_alpha 90.00
_cell_angle_beta 90.00
_cell_angle_gamma 90.00
loop_
_atom_site_label
_atom_site_fract_x
_atom_site_fract_y
_atom_site_fract_z
_atom_site_occupancy
Ir1 0.5000 0.0000 0.5000 1
Re1 0.0000 0.0000 0.0000 1
Re2 0.0000 0.5000 0.5000 1
In1 0.5000 0.5000 0.0000 1
```

Values from the calculation:
**Crystal system**: tetragonal
**DOS(E_F)**: 4.6 states/eV per cell

Relative energy of each structure, in kJ/mol of atoms: model i 0.0; model ii 8.1.

Model i:
This record from Alexandria via LeMat-Bulk describes a relaxed InRe2Ir crystal. The functional is PBE-GGA.

```
data_InRe2Ir
_chemical_formula_sum 'In1 Re2 Ir1'
_symmetry_space_group_name_H-M 'P 1'
_symmetry_Int_Tables_number 1
_symmetry_space_group_name_Hall 'P 1'
_cell_length_a 4.8384
_cell_length_b 4.8384
_cell_length_c 5.0176
_cell_angle_alpha 80.70
_cell_angle_beta 80.70
_cell_angle_gamma 33.94
loop_
_atom_site_label
_atom_site_fract_x
_atom_site_fract_y
_atom_site_fract_z
_atom_site_occupancy
Ir1 0.2611 0.2611 0.2590 1
Re1 0.9902 0.9902 0.9712 1
Re2 0.7424 0.7424 0.7919 1
In1 0.5062 0.5062 0.4778 1
```

Values from the calculation:
**Crystal system**: monoclinic
**DOS(E_F)**: 3.2 states/eV per cell

Model ii:
This record from Alexandria via LeMat-Bulk describes a relaxed InRe2Ir crystal. The functional is PBE-GGA.

```
data_InRe2Ir
_chemical_formula_sum 'In1 Re2 Ir1'
_symmetry_space_group_name_H-M 'P 1'
_symmetry_Int_Tables_number 1
_symmetry_space_group_name_Hall 'P 1'
_cell_length_a 4.4989
_cell_length_b 4.4989
_cell_length_c 4.4989
_cell_angle_alpha 60.00
_cell_angle_beta 60.00
_cell_angle_gamma 60.00
loop_
_atom_site_label
_atom_site_fract_x
_atom_site_fract_y
_atom_site_fract_z
_atom_site_occupancy
Ir1 0.7500 0.7500 0.7500 1
In1 0.5000 0.5000 0.5000 1
Re1 0.0000 0.0000 0.0000 1
Re2 0.2500 0.2500 0.2500 1
```

Values from the calculation:
**Crystal system**: cubic
**DOS(E_F)**: 3.7 states/eV per cell

Model iii:
This record from Alexandria via LeMat-Bulk describes a relaxed InRe2Ir crystal. The functional is PBE-GGA.

```
data_InRe2Ir
_chemical_formula_sum 'In1 Re2 Ir1'
_symmetry_space_group_name_H-M 'P 1'
_symmetry_Int_Tables_number 1
_symmetry_space_group_name_Hall 'P 1'
_cell_length_a 5.0749
_cell_length_b 5.0749
_cell_length_c 5.0749
_cell_angle_alpha 135.25
_cell_angle_beta 135.25
_cell_angle_gamma 65.15
loop_
_atom_site_label
_atom_site_fract_x
_atom_site_fract_y
_atom_site_fract_z
_atom_site_occupancy
Ir1 0.7500 0.2500 0.5000 1
Re1 0.5000 0.5000 0.0000 1
Re2 0.0000 0.0000 0.0000 1
In1 0.2500 0.7500 0.5000 1
```

Values from the calculation:
**Crystal system**: tetragonal
**DOS(E_F)**: 2.9 states/eV per cell

Model iv:
This record from Alexandria via LeMat-Bulk describes a relaxed InRe2Ir crystal. The functional is PBE-GGA.

```
data_InRe2Ir
_chemical_formula_sum 'In1 Re2 Ir1'
_symmetry_space_group_name_H-M 'P 1'
_symmetry_Int_Tables_number 1
_symmetry_space_group_name_Hall 'P 1'
_cell_length_a 2.7985
_cell_length_b 4.1102
_cell_length_c 5.6716
_cell_angle_alpha 90.00
_cell_angle_beta 90.00
_cell_angle_gamma 90.00
loop_
_atom_site_label
_atom_site_fract_x
_atom_site_fract_y
_atom_site_fract_z
_atom_site_occupancy
Ir1 0.5000 0.5000 0.7500 1
Re1 0.0000 0.0000 0.5300 1
Re2 0.0000 0.0000 0.9700 1
In1 0.5000 0.5000 0.2500 1
```

Values from the calculation:
**Crystal system**: orthorhombic
**DOS(E_F)**: 5.1 states/eV per cell

Relative energy of each structure, in kJ/mol of atoms: model i 0.0; model ii 17.9; model iii 5.7; model iv 8.1.